Entry from Alexandria: a geometry-optimized InTeS2 structure (GGA-PBE).

a b c (Å): 6.985 6.985 6.985
angles (deg): 90.00 90.00 90.00
Space group Fm-3m (No. 225)
Inequivalent atoms, fractional coordinates:
In 0.000 0.000 0.000 x4
Te 0.000 0.000 0.500 x4
S 0.250 0.250 0.250 x8

Polymorph energy (0 for the lowest one) (eV/atom): 0.515
M_tot (Bohr magnetons per cell): 0.00
Uncorrected energy (eV/atom): -3.27

Entry from Alexandria: a geometry-optimized In8TeS6 structure (GGA-PBE).

a b c (Å): 11.4946 11.4946 10.4779
angles (deg): 90.00 90.00 120.00
Space group R-3 (No. 148, hexagonal axes)
Inequivalent atoms, fractional coordinates:
In 0.0000 0.0000 0.1501 x6
In 0.0579 0.8025 0.6449 x18
Te 0.0000 0.0000 0.5000 x3
S 0.0385 0.7607 0.1393 x18

M_tot (Bohr magnetons per cell): 0.00
Uncorrected energy (eV/atom): -3.62

Entry from Alexandria: a geometry-optimized InTeS2 structure (GGA-PBE).

a b c (Å): 3.8733 3.8733 27.4293
angles (deg): 90.00 90.00 120.00
Space group R-3m (No. 166, hexagonal axes)
Inequivalent atoms, fractional coordinates:
In 0.0000 0.0000 0.0000 x3
Te 0.0000 0.0000 0.5000 x3
S 0.0000 0.0000 0.1110 x6

Polymorph energy (0 for the lowest one) (eV/atom): 0.404
M_tot (Bohr magnetons per cell): 0.00
Uncorrected energy (eV/atom): -3.39

Entry from Alexandria: a geometry-optimized In2TeS5 structure (GGA-PBE).

a b c (Å): 6.771 6.924 6.939
angles (deg): 114.17 95.12 118.58
Space group P1 (No. 1)
Inequivalent atoms, fractional coordinates:
In 0.000 0.000 0.000 x1
In 0.315 0.646 0.924 x1
Te 0.036 0.585 0.331 x1
S 0.211 0.381 0.406 x1
S 0.261 0.913 0.793 x1
S 0.346 0.940 0.326 x1
S 0.653 0.607 0.944 x1
S 0.924 0.279 0.893 x1

Polymorph energy (0 for the lowest one) (eV/atom): 0.000
M_tot (Bohr magnetons per cell): 0.00
Uncorrected energy (eV/atom): -3.92